Entry from Alexandria via LeMat-Bulk: a relaxed structure of Y5ErSi4 (PBE).

Unit cell a=7.9133 b=7.9133 c=6.8094 alpha=90.17 beta=90.17 gamma=36.10
Atoms (fractional coordinates):
Y1 0.0000 0.0000 0.0000
Y2 0.3352 0.3352 0.0051
Y3 0.3351 0.3351 0.4945
Y4 0.6649 0.6649 0.5055
Y5 0.6648 0.6648 0.9949
Er1 0.0000 0.0000 0.5000
Si1 0.1773 0.1773 0.7495
Si2 0.4912 0.4912 0.7477
Si3 0.5088 0.5088 0.2523
Si4 0.8227 0.8227 0.2505

Results
**Uncorrected energy**: -64.09 eV/cell
**Energy relative to the elements, uncorrected**: -0.5516 eV/atom
**Crystal system**: monoclinic
**V**: 25.12 A^3/atom

---

Entry from Alexandria via LeMat-Bulk: a relaxed structure of Y2ErSi2 (PBE).

Unit cell a=6.4454 b=6.4454 c=10.3803 alpha=115.16 beta=115.16 gamma=38.80
Atoms (fractional coordinates):
Y1 0.0168 0.0168 0.1884
Y2 0.1798 0.1798 0.5883
Y3 0.8202 0.8202 0.4117
Y4 0.9832 0.9832 0.8116
Er1 0.2782 0.2782 0.1368
Er2 0.7218 0.7218 0.8632
Si1 0.3886 0.3886 0.9409
Si2 0.4814 0.4814 0.6056
Si3 0.5186 0.5186 0.3944
Si4 0.6114 0.6114 0.0591

Results
**Energy above the lowest structure with this stoichiometry**: 95.0 meV per atom
**Uncorrected energy**: -63.01 eV/cell
**Energy relative to the elements, uncorrected**: -0.6337 eV/atom
**Crystal system**: monoclinic
**V**: 24.12 A^3/atom